Record 1
# Zr3Bi2P2Pd4 PBE-GGA optimized geometry
data_Zr3Bi2P2Pd4
_chemical_formula_sum 'Zr3 Bi2 P2 Pd4'
_symmetry_space_group_name_H-M 'P 1'
_symmetry_Int_Tables_number 1
_symmetry_space_group_name_Hall 'P 1'
_cell_length_a 7.8035
_cell_length_b 7.8035
_cell_length_c 7.8035
_cell_angle_alpha 133.55
_cell_angle_beta 133.55
_cell_angle_gamma 67.79
loop_
_atom_site_label
_atom_site_fract_x
_atom_site_fract_y
_atom_site_fract_z
Bi1 0.5000 0.0000 0.5000
Bi2 0.0000 0.5000 0.5000
P1 0.2481 0.2481 0.0000
P2 0.7519 0.7519 0.0000
Pd1 0.8949 0.3826 0.0000
Pd2 0.3826 0.8949 0.0000
Pd3 0.1051 0.1051 0.4877
Pd4 0.6174 0.6174 0.5123
Zr1 0.0000 0.0000 0.0000
Zr2 0.7500 0.2500 0.5000
Zr3 0.2500 0.7500 0.5000
# Total DFT energy (no corrections) ... -6.50 eV per atom
# Space group ... I-42m, No. 121
# Theoretical density ... 7.982 g cm⁻³
# Magnetic moment ... 0.00 Bohr magnetons per cell

Record 2
# ScSnPt PBE-GGA optimized geometry
data_ScSnPt
_chemical_formula_sum 'Sc1 Sn1 Pt1'
_symmetry_space_group_name_H-M 'P 1'
_symmetry_Int_Tables_number 1
_symmetry_space_group_name_Hall 'P 1'
_cell_length_a 4.5790
_cell_length_b 4.5790
_cell_length_c 4.5790
_cell_angle_alpha 60.00
_cell_angle_beta 60.00
_cell_angle_gamma 60.00
loop_
_atom_site_label
_atom_site_fract_x
_atom_site_fract_y
_atom_site_fract_z
Pt1 0.2500 0.2500 0.2500
Sc1 0.0000 0.0000 0.0000
Sn1 0.7500 0.7500 0.7500
# Total DFT energy (no corrections) ... -5.89 eV per atom
# Space group ... F-43m, No. 216
# Theoretical density ... 8.775 g cm⁻³
# Magnetic moment ... 0.00 Bohr magnetons per cell

Record 3
# Tm3ZnIn2Au3 PBE-GGA optimized geometry
data_Tm3ZnIn2Au3
_chemical_formula_sum 'Tm3 Zn1 In2 Au3'
_symmetry_space_group_name_H-M 'P 1'
_symmetry_Int_Tables_number 1
_symmetry_space_group_name_Hall 'P 1'
_cell_length_a 3.8805
_cell_length_b 7.6568
_cell_length_c 7.6568
_cell_angle_alpha 120.06
_cell_angle_beta 90.00
_cell_angle_gamma 90.00
loop_
_atom_site_label
_atom_site_fract_x
_atom_site_fract_y
_atom_site_fract_z
Au1 0.5000 0.0210 0.0210
Au2 0.0000 0.6593 0.3293
Au3 0.0000 0.3293 0.6593
In1 0.0000 0.9956 0.7388
In2 0.0000 0.7388 0.9956
Tm1 0.5000 0.4031 0.0056
Tm2 0.5000 0.0056 0.4031
Tm3 0.5000 0.5801 0.5801
Zn1 0.0000 0.2672 0.2672
# Total DFT energy (no corrections) ... -4.05 eV per atom
# Space group ... Amm2, No. 38
# Theoretical density ... 11.745 g cm⁻³
# Magnetic moment ... 0.00 Bohr magnetons per cell

Record 4
# H6PtC8S4N6 PBE-GGA optimized geometry
data_H6PtC8S4N6
_chemical_formula_sum 'H12 Pt2 C16 S8 N12'
_symmetry_space_group_name_H-M 'P 1'
_symmetry_Int_Tables_number 1
_symmetry_space_group_name_Hall 'P 1'
_cell_length_a 6.1141
_cell_length_b 7.7035
_cell_length_c 14.8092
_cell_angle_alpha 90.00
_cell_angle_beta 95.58
_cell_angle_gamma 90.00
loop_
_atom_site_label
_atom_site_fract_x
_atom_site_fract_y
_atom_site_fract_z
C1 0.2737 0.3710 0.1811
C2 0.9128 0.9779 0.1933
C3 0.0933 0.4499 0.2127
C4 0.4504 0.3184 0.2432
C5 0.5496 0.8184 0.2568
C6 0.9067 0.9499 0.2873
C7 0.0872 0.4779 0.3067
C8 0.7263 0.8710 0.3189
C9 0.2737 0.1290 0.6811
C10 0.9128 0.5221 0.6933
C11 0.0933 0.0501 0.7127
C12 0.4504 0.1816 0.7432
C13 0.5496 0.6816 0.7568
C14 0.9067 0.5501 0.7873
C15 0.0872 0.0221 0.8067
C16 0.7263 0.6290 0.8189
H1 0.8981 0.1686 0.0068
H2 0.6735 0.2881 0.0111
H3 0.2326 0.7473 0.0896
H4 0.7674 0.2473 0.4104
H5 0.3265 0.7881 0.4889
H6 0.1019 0.6686 0.4932
H7 0.8981 0.3314 0.5068
H8 0.6735 0.2119 0.5111
H9 0.2326 0.7527 0.5896
H10 0.7674 0.2527 0.9104
H11 0.3265 0.7119 0.9889
H12 0.1019 0.8314 0.9932
N1 0.1859 0.7252 0.0213
N2 0.9199 0.0046 0.1158
N3 0.4030 0.7780 0.2043
N4 0.5970 0.2780 0.2957
N5 0.0801 0.5046 0.3842
N6 0.8141 0.2252 0.4787
N7 0.1859 0.7748 0.5213
N8 0.9199 0.4954 0.6158
N9 0.4030 0.7220 0.7043
N10 0.5970 0.2220 0.7957
N11 0.0801 0.9954 0.8842
N12 0.8141 0.2748 0.9787
Pt1 0.0000 0.5000 0.0000
Pt2 0.0000 0.0000 0.5000
S1 0.3022 0.3376 0.0668
S2 0.8708 0.5310 0.1443
S3 0.1292 0.0310 0.3557
S4 0.6978 0.8376 0.4332
S5 0.3022 0.1624 0.5668
S6 0.8708 0.9690 0.6443
S7 0.1292 0.4690 0.8557
S8 0.6978 0.6624 0.9332
# Total DFT energy (no corrections) ... -6.57 eV per atom
# Space group ... P2_1/c, No. 14
# Theoretical density ... 2.438 g cm⁻³
# Magnetic moment ... 0.02 Bohr magnetons per cell

Record 5
# Nb4InB2S PBE-GGA optimized geometry
data_Nb4InB2S
_chemical_formula_sum 'Nb4 In1 B2 S1'
_symmetry_space_group_name_H-M 'P 1'
_symmetry_Int_Tables_number 1
_symmetry_space_group_name_Hall 'P 1'
_cell_length_a 3.3174
_cell_length_b 3.3174
_cell_length_c 13.0182
_cell_angle_alpha 90.00
_cell_angle_beta 90.00
_cell_angle_gamma 120.00
loop_
_atom_site_label
_atom_site_fract_x
_atom_site_fract_y
_atom_site_fract_z
B1 0.6667 0.3333 0.2722
B2 0.6667 0.3333 0.7278
In1 0.0000 0.0000 0.0000
Nb1 0.3333 0.6667 0.1833
Nb2 0.0000 0.0000 0.3687
Nb3 0.0000 0.0000 0.6313
Nb4 0.3333 0.6667 0.8167
S1 0.3333 0.6667 0.5000
# Total DFT energy (no corrections) ... -8.23 eV per atom
# Space group ... P-6m2, No. 187
# Theoretical density ... 7.229 g cm⁻³
# Magnetic moment ... 0.00 Bohr magnetons per cell

Record 6
# Pd17Se15 PBE-GGA optimized geometry
data_Pd17Se15
_chemical_formula_sum 'Pd34 Se30'
_symmetry_space_group_name_H-M 'P 1'
_symmetry_Int_Tables_number 1
_symmetry_space_group_name_Hall 'P 1'
_cell_length_a 10.7293
_cell_length_b 10.7293
_cell_length_c 10.7293
_cell_angle_alpha 90.00
_cell_angle_beta 90.00
_cell_angle_gamma 90.00
loop_
_atom_site_label
_atom_site_fract_x
_atom_site_fract_y
_atom_site_fract_z
Pd1 0.0000 0.0000 0.0000
Pd2 0.5000 0.5000 0.0000
Pd3 0.3496 0.1475 0.1475
Pd4 0.6504 0.1475 0.1475
Pd5 0.1475 0.3496 0.1475
Pd6 0.8525 0.3496 0.1475
Pd7 0.1475 0.6504 0.1475
Pd8 0.8525 0.6504 0.1475
Pd9 0.3496 0.8525 0.1475
Pd10 0.6504 0.8525 0.1475
Pd11 0.5000 0.5000 0.2596
Pd12 0.1475 0.1475 0.3496
Pd13 0.8525 0.1475 0.3496
Pd14 0.1475 0.8525 0.3496
Pd15 0.8525 0.8525 0.3496
Pd16 0.5000 0.0000 0.5000
Pd17 0.5000 0.2596 0.5000
Pd18 0.0000 0.5000 0.5000
Pd19 0.2596 0.5000 0.5000
Pd20 0.7404 0.5000 0.5000
Pd21 0.5000 0.7404 0.5000
Pd22 0.1475 0.1475 0.6504
Pd23 0.8525 0.1475 0.6504
Pd24 0.1475 0.8525 0.6504
Pd25 0.8525 0.8525 0.6504
Pd26 0.5000 0.5000 0.7404
Pd27 0.3496 0.1475 0.8525
Pd28 0.6504 0.1475 0.8525
Pd29 0.1475 0.3496 0.8525
Pd30 0.8525 0.3496 0.8525
Pd31 0.1475 0.6504 0.8525
Pd32 0.8525 0.6504 0.8525
Pd33 0.3496 0.8525 0.8525
Pd34 0.6504 0.8525 0.8525
Se1 0.2400 0.0000 0.0000
Se2 0.7600 0.0000 0.0000
Se3 0.0000 0.2400 0.0000
Se4 0.3310 0.3310 0.0000
Se5 0.6690 0.3310 0.0000
Se6 0.3310 0.6690 0.0000
Se7 0.6690 0.6690 0.0000
Se8 0.0000 0.7600 0.0000
Se9 0.0000 0.0000 0.2400
Se10 0.5000 0.2694 0.2694
Se11 0.2694 0.5000 0.2694
Se12 0.7306 0.5000 0.2694
Se13 0.5000 0.7306 0.2694
Se14 0.3310 0.0000 0.3310
Se15 0.6690 0.0000 0.3310
Se16 0.0000 0.3310 0.3310
Se17 0.0000 0.6690 0.3310
Se18 0.2694 0.2694 0.5000
Se19 0.7306 0.2694 0.5000
Se20 0.2694 0.7306 0.5000
Se21 0.7306 0.7306 0.5000
Se22 0.3310 0.0000 0.6690
Se23 0.6690 0.0000 0.6690
Se24 0.0000 0.3310 0.6690
Se25 0.0000 0.6690 0.6690
Se26 0.5000 0.2694 0.7306
Se27 0.2694 0.5000 0.7306
Se28 0.7306 0.5000 0.7306
Se29 0.5000 0.7306 0.7306
Se30 0.0000 0.0000 0.7600
# Total DFT energy (no corrections) ... -4.71 eV per atom
# Space group ... Pm-3m, No. 221
# Theoretical density ... 8.049 g cm⁻³

Record 7
# ErTmPO PBE-GGA optimized geometry
data_ErTmPO
_chemical_formula_sum 'Er2 Tm2 P2 O2'
_symmetry_space_group_name_H-M 'P 1'
_symmetry_Int_Tables_number 1
_symmetry_space_group_name_Hall 'P 1'
_cell_length_a 4.2639
_cell_length_b 4.2639
_cell_length_c 8.4280
_cell_angle_alpha 90.00
_cell_angle_beta 90.00
_cell_angle_gamma 90.00
loop_
_atom_site_label
_atom_site_fract_x
_atom_site_fract_y
_atom_site_fract_z
Er1 0.2500 0.2500 0.1023
Er2 0.7500 0.7500 0.8977
O1 0.7500 0.2500 0.0000
O2 0.2500 0.7500 0.0000
P1 0.7500 0.7500 0.3045
P2 0.2500 0.2500 0.6955
Tm1 0.7500 0.2500 0.5000
Tm2 0.2500 0.7500 0.5000
# Total DFT energy (no corrections) ... -6.78 eV per atom
# Space group ... P4/nmm, No. 129
# Theoretical density ... 8.305 g cm⁻³
# Magnetic moment ... 0.02 Bohr magnetons per cell

Record 8
# NbTcNO PBE-GGA optimized geometry
data_NbTcNO
_chemical_formula_sum 'Nb4 Tc4 N4 O4'
_symmetry_space_group_name_H-M 'P 1'
_symmetry_Int_Tables_number 1
_symmetry_space_group_name_Hall 'P 1'
_cell_length_a 5.3486
_cell_length_b 5.5320
_cell_length_c 6.7505
_cell_angle_alpha 90.00
_cell_angle_beta 90.00
_cell_angle_gamma 90.00
loop_
_atom_site_label
_atom_site_fract_x
_atom_site_fract_y
_atom_site_fract_z
N1 0.6275 0.1245 0.3493
N2 0.1275 0.3755 0.3493
N3 0.6275 0.6245 0.6507
N4 0.1275 0.8755 0.6507
Nb1 0.9927 0.0185 0.3871
Nb2 0.4927 0.4815 0.3871
Nb3 0.9927 0.5185 0.6129
Nb4 0.4927 0.9815 0.6129
O1 0.6165 0.5614 0.0817
O2 0.1165 0.9386 0.0817
O3 0.6165 0.0614 0.9183
O4 0.1165 0.4386 0.9183
Tc1 0.9657 0.6200 0.1852
Tc2 0.4657 0.8800 0.1852
Tc3 0.9657 0.1200 0.8148
Tc4 0.4657 0.3800 0.8148
# Total DFT energy (no corrections) ... -9.21 eV per atom
# Space group ... Pca2_1, No. 29
# Theoretical density ... 7.346 g cm⁻³
# Magnetic moment ... 0.01 Bohr magnetons per cell

Record 9
# ErCdAu PBE-GGA optimized geometry
data_ErCdAu
_chemical_formula_sum 'Er1 Cd1 Au1'
_symmetry_space_group_name_H-M 'P 1'
_symmetry_Int_Tables_number 1
_symmetry_space_group_name_Hall 'P 1'
_cell_length_a 4.8302
_cell_length_b 4.8302
_cell_length_c 4.8302
_cell_angle_alpha 60.00
_cell_angle_beta 60.00
_cell_angle_gamma 60.00
loop_
_atom_site_label
_atom_site_fract_x
_atom_site_fract_y
_atom_site_fract_z
Au1 0.2500 0.2500 0.2500
Cd1 0.7500 0.7500 0.7500
Er1 0.0000 0.0000 0.0000
# Total DFT energy (no corrections) ... -3.08 eV per atom
# Space group ... F-43m, No. 216
# Theoretical density ... 9.932 g cm⁻³
# Magnetic moment ... 0.00 Bohr magnetons per cell